TlCdTeI2: optimized geometry, PBE-GGA.

Unit cell a=5.9832 b=5.9832 c=5.6680 alpha=90.00 beta=90.00 gamma=90.00
Closest atoms and distances in Å follow each position.
Sites, in units of the cell vectors:
1 Tl 0.0000 0.0000 0.0000  8 I 4.12, 4 Te 4.23
2 Cd 0.5000 0.5000 0.5000  2 Te 2.83, 4 I 2.99
3 Te 0.5000 0.5000 0.0000  2 Cd 2.83
4 I 0.0000 0.5000 0.5000  2 Cd 2.99
5 I 0.5000 0.0000 0.5000  2 Cd 2.99

Summary:
- symmetry = P4/mmm
- final energy (Ry/atom) = -0.154
- D(E_F) (states/eV/cell) = 4.31

---

TlCdTe2I: optimized geometry, PBE-GGA.

Unit cell a=5.8497 b=5.8497 c=6.0133 alpha=90.00 beta=90.00 gamma=90.00
Closest atoms and distances in Å follow each position.
Sites, in units of the cell vectors:
1 Tl 0.0000 0.0000 0.0000  4 Te 2.92, 2 I 3.01
2 Cd 0.5000 0.5000 0.5000  4 I 4.14, 8 Te 4.19
3 Te 0.0000 0.5000 0.0000  2 Tl 2.92
4 Te 0.5000 0.0000 0.0000  2 Tl 2.92
5 I 0.0000 0.0000 0.5000  2 Tl 3.01

Summary:
- symmetry = P4/mmm
- final energy (Ry/atom) = -0.134
- D(E_F) (states/eV/cell) = 7.80

---

TlCdTe2I: optimized geometry, PBE-GGA.

Unit cell a=5.6253 b=5.6253 c=6.1878 alpha=90.00 beta=90.00 gamma=90.00
Closest atoms and distances in Å follow each position.
Sites, in units of the cell vectors:
1 Tl 0.0000 0.0000 0.0000  4 I 3.98, 8 Te 4.18
2 Cd 0.5000 0.5000 0.5000  4 Te 2.81, 2 I 3.09
3 Te 0.0000 0.5000 0.5000  2 Cd 2.81
4 Te 0.5000 0.0000 0.5000  2 Cd 2.81
5 I 0.5000 0.5000 0.0000  2 Cd 3.09

Summary:
- symmetry = P4/mmm
- final energy (Ry/atom) = -0.162
- D(E_F) (states/eV/cell) = 5.99

---

TlCdTeI2: optimized geometry, PBE-GGA.

Unit cell a=6.0208 b=6.0208 c=5.9400 alpha=90.00 beta=90.00 gamma=90.00
Closest atoms and distances in Å follow each position.
Sites, in units of the cell vectors:
1 Tl 0.0000 0.0000 0.0000  2 Te 2.97, 4 I 3.01
2 Cd 0.5000 0.5000 0.5000  8 I 4.23, 4 Te 4.26
3 Te 0.0000 0.0000 0.5000  2 Tl 2.97
4 I 0.0000 0.5000 0.0000  2 Tl 3.01
5 I 0.5000 0.0000 0.0000  2 Tl 3.01

Summary:
- symmetry = P4/mmm
- final energy (Ry/atom) = -0.126
- D(E_F) (states/eV/cell) = 3.56